{
  "formula": "CaAc6Pr",
  "functional": "PBE",
  "state": "optimized geometry",
  "crystal_system": "tetragonal",
  "e_form_ev_per_fu": 0.15,
  "vol_a3_per_cell": 347.7,
  "dos_ef_per_ev_fu": 13.81,
  "final_energy_ev_per_fu": -31.3,
  "m_tot_mub_per_fu": 0.0,
  "cell": [[5.5887, 0.0000, 0.0000], [0.0000, 5.5887, 0.0000], [0.0000, 0.0000, 11.1323]],
  "species": ["Ca", "Ac", "Ac", "Ac", "Ac", "Ac", "Ac", "Pr"],
  "frac_coords": [[0.0000, 0.0000, 0.0000], [0.0000, 0.5000, 0.2552], [0.0000, 0.5000, 0.7448], [0.5000, 0.0000, 0.2552], [0.5000, 0.0000, 0.7448], [0.5000, 0.5000, 0.0000], [0.5000, 0.5000, 0.5000], [0.0000, 0.0000, 0.5000]]
}

{
  "formula": "Ca2Ac2Pr15",
  "functional": "PBE",
  "state": "optimized geometry",
  "crystal_system": "trigonal",
  "e_form_ev_per_fu": 4.18,
  "vol_a3_per_cell": 740.4,
  "dos_ef_per_ev_fu": 29.90,
  "final_energy_ev_per_fu": -79.7,
  "m_tot_mub_per_fu": 0.0,
  "cell": [[6.0183, 3.4747, 5.9011], [-6.0183, 3.4747, 5.9011], [0.0000, -6.9493, 5.9011]],
  "species": ["Ca", "Ca", "Ac", "Ac", "Pr", "Pr", "Pr", "Pr", "Pr", "Pr", "Pr", "Pr", "Pr", "Pr", "Pr", "Pr", "Pr", "Pr", "Pr"],
  "frac_coords": [[0.1585, 0.1585, 0.1585], [0.8415, 0.8415, 0.8415], [0.3942, 0.3942, 0.3942], [0.6058, 0.6058, 0.6058], [0.0000, 0.5000, 0.5000], [0.1405, 0.1405, 0.6563], [0.1405, 0.6563, 0.1405], [0.1951, 0.5000, 0.8049], [0.1951, 0.8049, 0.5000], [0.3437, 0.8595, 0.8595], [0.5000, 0.0000, 0.5000], [0.5000, 0.1951, 0.8049], [0.5000, 0.5000, 0.0000], [0.5000, 0.8049, 0.1951], [0.6563, 0.1405, 0.1405], [0.8049, 0.1951, 0.5000], [0.8049, 0.5000, 0.1951], [0.8595, 0.3437, 0.8595], [0.8595, 0.8595, 0.3437]]
}

{
  "formula": "Ca2Ac2Pr3",
  "functional": "PBE",
  "state": "optimized geometry",
  "crystal_system": "orthorhombic",
  "e_form_ev_per_fu": 0.38,
  "vol_a3_per_cell": 279.9,
  "dos_ef_per_ev_fu": 9.95,
  "final_energy_ev_per_fu": -26.2,
  "m_tot_mub_per_fu": 0.0,
  "cell": [[2.8643, -13.0529, 0.0000], [2.8643, 13.0529, 0.0000], [0.0000, 0.0000, 3.7430]],
  "species": ["Ca", "Ca", "Ac", "Ac", "Pr", "Pr", "Pr"],
  "frac_coords": [[0.2118, 0.7882, 0.0000], [0.7882, 0.2118, 0.0000], [0.3593, 0.6407, 0.5000], [0.6407, 0.3593, 0.5000], [0.0685, 0.9315, 0.0000], [0.5000, 0.5000, 0.5000], [0.9315, 0.0685, 0.0000]]
}

{
  "formula": "CaAcPr",
  "functional": "PBE",
  "state": "optimized geometry",
  "crystal_system": "trigonal",
  "e_form_ev_per_fu": 0.09,
  "vol_a3_per_cell": 122.9,
  "polymorph_energy_kcal_per_mol_atoms": 0.194,
  "dos_ef_per_ev_fu": 4.01,
  "final_energy_ev_per_fu": -10.8,
  "m_tot_mub_per_fu": 0.0,
  "cell": [[3.8681, 0.0000, 0.0000], [-1.9341, 3.3499, 0.0000], [0.0000, 0.0000, 9.4876]],
  "species": ["Ca", "Ac", "Pr"],
  "frac_coords": [[0.0000, 0.0000, 0.0000], [0.3333, 0.6667, 0.6494], [0.6667, 0.3333, 0.3309]]
}

{
  "formula": "CaAc4Pr4",
  "functional": "PBE",
  "state": "optimized geometry",
  "crystal_system": "tetragonal",
  "e_form_ev_per_fu": 0.24,
  "vol_a3_per_cell": 365.3,
  "dos_ef_per_ev_fu": 14.12,
  "final_energy_ev_per_fu": -37.3,
  "m_tot_mub_per_fu": 0.0,
  "cell": [[-5.7664, 5.7664, 2.7462], [5.7664, -5.7664, 2.7462], [5.7664, 5.7664, -2.7462]],
  "species": ["Ca", "Ac", "Ac", "Ac", "Ac", "Pr", "Pr", "Pr", "Pr"],
  "frac_coords": [[0.0000, 0.0000, 0.0000], [0.3299, 0.3299, 0.6599], [0.3299, 0.6701, 0.0000], [0.6701, 0.3299, 0.0000], [0.6701, 0.6701, 0.3401], [0.0000, 0.3416, 0.3416], [0.0000, 0.6584, 0.6584], [0.3416, 0.0000, 0.3416], [0.6584, 0.0000, 0.6584]]
}

{
  "formula": "Ca3Ac4Pr2",
  "functional": "PBE",
  "state": "optimized geometry",
  "crystal_system": "monoclinic",
  "e_form_ev_per_fu": 0.62,
  "vol_a3_per_cell": 373.4,
  "polymorph_energy_kcal_per_mol_atoms": 0.000,
  "dos_ef_per_ev_fu": 13.19,
  "final_energy_ev_per_fu": -31.4,
  "m_tot_mub_per_fu": 0.0,
  "cell": [[6.5150, -3.1143, 0.0000], [6.5150, 3.1143, 0.0000], [-2.1444, 0.0000, 9.2009]],
  "species": ["Ca", "Ca", "Ca", "Ac", "Ac", "Ac", "Ac", "Pr", "Pr"],
  "frac_coords": [[0.0000, 0.0000, 0.0000], [0.1014, 0.1014, 0.6647], [0.8986, 0.8986, 0.3353], [0.2303, 0.2303, 0.3396], [0.3355, 0.3355, 0.9782], [0.6645, 0.6645, 0.0218], [0.7697, 0.7697, 0.6604], [0.4602, 0.4602, 0.6667], [0.5398, 0.5398, 0.3333]]
}